Computed, not measured: a geometry-optimized KZnH8Ir2 structure at the PBE level of DFT.

abc: 4.622 4.622 7.304
angles: 71.56 71.56 60.00
Atoms (fractional coordinates):
Ir 0.296 0.296 0.112
Ir 0.704 0.704 0.888
H 0.925 0.605 0.178
H 0.075 0.395 0.822
H 0.292 0.925 0.178
H 0.708 0.075 0.822
H 0.217 0.217 0.348
H 0.605 0.292 0.178
H 0.783 0.783 0.652
H 0.395 0.708 0.822
K 0.500 0.500 0.500
Zn 0.000 0.000 0.000

## Properties
- N(E_F): 1.64 states/eV/cell
- SG: R-3
- Total energy: -0.289 Ry/atom